1.
{"formula": "Ca4MgCu2", "functional": "PBE-GGA", "state": "relaxed", "cell": [[-3.9313, 3.9313, 7.3657], [3.9313, -3.9313, 7.3657], [3.9313, 3.9313, -7.3657]], "species": ["Ca", "Ca", "Ca", "Ca", "Ca", "Ca", "Ca", "Ca", "Mg", "Mg", "Cu", "Cu", "Cu", "Cu"], "fractional_positions": [[0.0487, 0.5487, 0.8523], [0.1964, 0.0487, 0.5000], [0.3036, 0.8036, 0.8523], [0.4513, 0.3036, 0.5000], [0.5487, 0.6964, 0.5000], [0.6964, 0.1964, 0.1477], [0.8036, 0.9513, 0.5000], [0.9513, 0.4513, 0.1477], [0.2500, 0.2500, 0.0000], [0.7500, 0.7500, 0.0000], [0.1098, 0.3902, 0.5000], [0.3902, 0.8902, 0.2805], [0.6098, 0.1098, 0.7195], [0.8902, 0.6098, 0.5000]], "e_form_ev_per_atom": 0.06, "magnetic_moment_mub_per_atom": 0.0000, "spacegroup": "No. 140"}

***

2.
{"formula": "Ca2MgCu2", "functional": "PBE-GGA", "state": "relaxed", "cell": [[-2.8342, 2.8342, 3.8928], [2.8342, -2.8342, 3.8928], [2.8342, 2.8342, -3.8928]], "species": ["Ca", "Ca", "Mg", "Cu", "Cu"], "fractional_positions": [[0.2500, 0.7500, 0.5000], [0.7500, 0.2500, 0.5000], [0.0000, 0.0000, 0.0000], [0.3494, 0.3494, 0.0000], [0.6506, 0.6506, 0.0000]], "e_form_ev_per_atom": 0.02, "magnetic_moment_mub_per_atom": 0.0000, "spacegroup": "No. 139"}